Record 1
## ZrIrN3 (PBE)

Data for a relaxed ZrIrN3 crystal.

The density of states at the Fermi level comes out at 3.9 states/eV per cell. The calculation puts the energy relative to the elements, uncorrected at 0.548 eV per atom. The calculated total energy comes out at -7.929 eV/atom.

The structure belongs to space group Pm-3m (No. 221); the cell edges are 3.854, 3.854 and 3.854 Å and the angles 90.00°, 90.00° and 90.00°. The inequivalent atoms are Zr at (0.000, 0.000, 0.000), Ir at (0.500, 0.500, 0.500) and N at (0.000, 0.500, 0.500).



Record 2
## HfBe2Si (PBE)

Data for a relaxed HfBe2Si crystal.

The density of states at the Fermi level comes out at 7.5 states/eV per cell. The calculation puts the energy relative to the elements, uncorrected at 0.187 eV per atom. The calculated total energy comes out at -5.521 eV/atom.

The structure belongs to space group I4_1/amd (No. 141, origin choice 2); the cell edges are 3.948, 3.948 and 15.110 Å and the angles 90.00°, 90.00° and 90.00°. The inequivalent atoms are Hf at (0.000, 0.250, 0.375), Be at (0.000, 0.000, 0.000) and Si at (0.000, 0.250, 0.875).



Record 3
## Sc6Zn5Hg (PBE)

Data for a relaxed Sc6Zn5Hg crystal.

The density of states at the Fermi level comes out at 20.3 states/eV per cell. The calculated total energy comes out at -4.103 eV/atom. Its calculated formation energy is -0.381 eV per atom.

The structure belongs to space group Cmmm (No. 65); the cell edges are 4.771, 14.348 and 6.773 Å and the angles 90.00°, 90.00° and 90.00°. The inequivalent atoms are Sc at (0.000, 0.000, 0.241), Sc at (0.000, 0.330, 0.245), Zn at (0.000, 0.166, 0.000), Zn at (0.000, 0.169, 0.500), Zn at (0.000, 0.500, 0.000) and Hg at (0.000, 0.500, 0.500).



Record 4
## NbFeSe2Br (PBE)

Data for a relaxed NbFeSe2Br crystal.

The density of states at the Fermi level comes out at 8.6 states/eV per cell. The calculation puts the energy relative to the elements, uncorrected at 0.367 eV per atom. The calculated total energy comes out at -5.067 eV/atom.

The structure belongs to space group P4/mmm (No. 123); the cell edges are 5.054, 5.054 and 5.185 Å and the angles 90.00°, 90.00° and 90.00°. The inequivalent atoms are Nb at (0.000, 0.000, 0.000), Fe at (0.500, 0.500, 0.500), Se at (0.000, 0.500, 0.000) and Br at (0.000, 0.000, 0.500).



Record 5
## Sr2PRh (PBE)

Data for a relaxed Sr2PRh crystal.

The density of states at the Fermi level comes out at 13.1 states/eV per cell. The calculated total energy comes out at -4.215 eV/atom. Its calculated formation energy is -0.184 eV per atom.

The structure belongs to space group R-3m (No. 166, hexagonal axes); the cell edges are 3.9158, 3.9158 and 24.8080 Å and the angles 90.00°, 90.00° and 120.00°. The inequivalent atoms are Sr at (0.0000, 0.0000, 0.2487), P at (0.0000, 0.0000, 0.5000) and Rh at (0.0000, 0.0000, 0.0000).



Record 6
## Mg2HgBiB (PBE)

Data for a relaxed Mg2HgBiB crystal.

The density of states at the Fermi level comes out at 3.3 states/eV per cell. The calculated total energy comes out at -2.207 eV/atom. Its calculated formation energy is 0.603 eV per atom.

The structure belongs to space group P4/mmm (No. 123); the cell edges are 5.419, 5.419 and 4.135 Å and the angles 90.00°, 90.00° and 90.00°. The inequivalent atoms are Mg at (0.000, 0.500, 0.000), Hg at (0.000, 0.000, 0.000), Bi at (0.500, 0.500, 0.500) and B at (0.000, 0.000, 0.500).